Entry 1:
Compound: Sr2Li2Pb
Source: the Alexandria database
Functional: GGA-PBEsol
Structure: optimized geometry

abc: 7.5730 7.5730 5.1646
angles: 90.00 90.00 90.00
Closest atoms and distances in Å follow each position.
Positions (direct):
Sr 0.1979 0.3021 0.0000  2 Li 3.17
Sr 0.3021 0.8021 0.0000  2 Li 3.17
Sr 0.6979 0.1979 0.0000  2 Li 3.17
Sr 0.8021 0.6979 0.0000  2 Li 3.17
Li 0.1296 0.6296 0.5000  1 Li 2.78, 2 Pb 2.97
Li 0.3704 0.1296 0.5000  1 Li 2.78, 2 Pb 2.97
Li 0.6296 0.8704 0.5000  1 Li 2.78, 2 Pb 2.97
Li 0.8704 0.3704 0.5000  1 Li 2.78, 2 Pb 2.97
Pb 0.0000 0.0000 0.5000  4 Li 2.97
Pb 0.5000 0.5000 0.5000  4 Li 2.97

Summary:
SG   P4/mbm, No. 127
Crystal system   tetragonal

---

Entry 2:
Compound: Sr2LiPb
Source: the Alexandria database
Functional: GGA-PBEsol
Structure: optimized geometry

abc: 5.1214 4.2459 12.7507
angles: 90.00 90.00 90.00
Closest atoms and distances in Å follow each position.
Positions (direct):
Sr 0.0000 0.0000 0.0000  2 Li 3.33, 4 Pb 3.47
Sr 0.0000 0.5000 0.5000  2 Li 3.33, 4 Pb 3.47
Sr 0.5000 0.0000 0.2967  3 Pb 3.50-3.59, 4 Li 3.54
Sr 0.5000 0.5000 0.7967  3 Pb 3.50-3.59, 4 Li 3.54
Li 0.0000 0.0000 0.7017  2 Pb 3.01, 2 Sr 3.33
Li 0.0000 0.5000 0.2017  2 Pb 3.01, 2 Sr 3.33
Pb 0.5000 0.0000 0.5781  2 Li 3.01
Pb 0.5000 0.5000 0.0781  2 Li 3.01

Summary:
SG   Amm2, No. 38
Crystal system   orthorhombic

---

Entry 3:
Compound: Sr2LiPb
Source: the Alexandria database
Functional: GGA-PBEsol
Structure: optimized geometry

abc: 5.6600 5.6600 4.1448
angles: 90.00 90.00 90.00
Closest atoms and distances in Å follow each position.
Positions (direct):
Sr 0.0000 0.5000 0.0000  4 Pb 3.51, 4 Li 3.51
Sr 0.5000 0.0000 0.0000  4 Pb 3.51, 4 Li 3.51
Li 0.0000 0.0000 0.5000  8 Sr 3.51
Pb 0.5000 0.5000 0.5000  8 Sr 3.51

Summary:
SG   P4/mmm, No. 123
Crystal system   tetragonal

---

no.,DFT formation energy (meV per atom)
1,-245
2,-342
3,-358